Below is an optimized crystal structure of SrTaBe2, with properties calculated at the PBE level.

Its energy of formation from the pure elements is 25.23 kcal/mol of atoms. The value obtained for the electronic total energy is -4.152 eV/atom.

The space group is I-42d (No. 122) and the conventional cell measures 7.1998, 7.1998 and 6.7066 Å, with angles of 90.00, 90.00 and 90.00 degrees. The inequivalent atoms are Sr at (0.0000, 0.0000, 0.0000), Ta at (0.0000, 0.0000, 0.5000) and Be at (0.1843, 0.2500, 0.6250).